VASP calculation (PBE with a Hubbard U) on crystalline RbAlMo2O8 at its relaxed geometry.

a b c (Å): 5.3150 5.3150 9.2459
angles (deg): 73.30 73.30 60.00
Last column: nearest neighbours and their distance in Å.
Positions (direct):
O1 0.9922 0.3561 0.8719  1 Mo 1.81, 1 Al 1.91
O2 0.7798 0.9922 0.8719  1 Mo 1.81, 1 Al 1.91
O3 0.2023 0.2023 0.3930  1 Mo 1.76
Rb1 0.5000 0.5000 0.5000  6 O 3.21
Mo1 0.7302 0.7302 0.8093  4 O 1.76-1.81
O4 0.6439 0.2202 0.1281  1 Mo 1.81, 1 Al 1.91
O5 0.7977 0.7977 0.6070  1 Mo 1.76
O6 0.2202 0.0078 0.1281  1 Mo 1.81, 1 Al 1.91
Mo2 0.2698 0.2698 0.1907  4 O 1.76-1.81
O7 0.3561 0.7798 0.8719  1 Mo 1.81, 1 Al 1.91
O8 0.0078 0.6439 0.1281  1 Mo 1.81, 1 Al 1.91
Al1 0.0000 0.0000 0.0000  6 O 1.91

Calculated values
As for the volume: 213.4 Å³/cell. As for the density of states at the Fermi level: 0.00 states/eV/f.u. As for the uncorrected energy: -82.308 eV for the cell shown.